## CoGeI2N (PBE)

Data for a relaxed structure of CoGeI2N.

Geometry as POSCAR:
```
CoGeI2N
1.0
-5.138 0.777 1.646
-0.729 -5.395 0.272
1.082 0.023 3.364
N Co I Ge
1 1 2 1
direct
0.000 0.000 0.500 N
0.000 0.000 0.000 Co
0.500 0.000 0.000 I
0.000 0.500 0.000 I
0.500 0.500 0.500 Ge
```

Values from the calculation:
The magnetic moment is 0.0 μB per formula unit. The mass density comes out at 6.32 Mg/m³. For the raw formation energy, the calculation gives 2.54 eV/f.u. As for the total energy: -4.12 eV/atom. Its relative energy among the computed polymorphs is 0.000 eV/atom.